A geometry-optimized Ba2SnGeSe5 structure. Source: Alexandria, functional PBE.

Unit cell a=9.7778 b=9.7778 c=13.4377 alpha=90.00 beta=90.00 gamma=154.17
Last column: nearest neighbours and their distance in Å.
Positions (direct):
Ba 0.1214 0.8786 0.5000  7 Se 3.27-3.51
Ba 0.1253 0.8747 0.1463  6 Se 3.29-3.37
Ba 0.8747 0.1253 0.6463  6 Se 3.29-3.37
Ba 0.8786 0.1214 0.0000  7 Se 3.27-3.51
Sn 0.2047 0.7953 0.8510  3 Se 2.72-2.91
Sn 0.7953 0.2047 0.3510  3 Se 2.72-2.91
Ge 0.4424 0.5576 0.2374  4 Se 2.39-2.54
Ge 0.5576 0.4424 0.7374  4 Se 2.39-2.54
Se 0.0274 0.9726 0.8242  2 Ge 2.54
Se 0.2945 0.7055 0.4934  2 Sn 2.91
Se 0.3207 0.6793 0.1872  1 Ge 2.42
Se 0.3463 0.6537 0.8247  1 Sn 2.72
Se 0.4980 0.5020 0.5806  1 Ge 2.39
Se 0.5020 0.4980 0.0806  1 Ge 2.39
Se 0.6537 0.3463 0.3247  1 Sn 2.72
Se 0.6793 0.3207 0.6872  1 Ge 2.42
Se 0.7055 0.2945 0.9934  2 Sn 2.91
Se 0.9726 0.0274 0.3242  2 Ge 2.54

The space group is No. 36. The value obtained for the calculated volume is 31.10 A^3/atom. The formation energy from raw total energies comes out at -1.119 eV per atom. The total magnetization is 0.0 Bohr magnetons per cell. The value obtained for the total energy is -39.96 eV per formula unit.